{"formula": "NaCo2BiO6", "functional": "PBE+U", "state": "relaxed", "n_ef_per_ev_fu": 5.71, "space_group": "R3 (146)", "crystal_system": "trigonal", "energy_ry_per_atom": -0.3996, "cell": [[2.645, 1.527, 4.740], [-2.645, 1.527, 4.740], [0.000, -3.055, 4.740]], "species": ["Na", "Co", "Co", "Bi", "O", "O", "O", "O", "O", "O"], "frac_coords": [[0.000, 0.000, 0.000], [0.218, 0.218, 0.218], [0.729, 0.729, 0.729], [0.518, 0.518, 0.518], [0.095, 0.444, 0.858], [0.369, 0.958, 0.539], [0.444, 0.858, 0.095], [0.539, 0.369, 0.958], [0.858, 0.095, 0.444], [0.958, 0.539, 0.369]]}